No. 1
# SiBr (PBE-GGA, relaxed)
# - offset from the most stable computed form (meV/atom) = 680
# - ρ (Mg/m³) = 3.477
data_SiBr
_chemical_formula_sum 'Si16 Br16'
_cell_length_a 6.070
_cell_length_b 10.411
_cell_length_c 13.058
_cell_angle_alpha 90.00
_cell_angle_beta 90.00
_cell_angle_gamma 90.00
_symmetry_space_group_name_H-M 'F d d d'
_symmetry_Int_Tables_number 70
loop_
_symmetry_equiv_pos_as_xyz
'x,y,z'
'-x,-y,-z'
'-x+1/4,-y+1/4,z'
'x+1/4,y+1/4,-z'
'x,-y+1/4,-z+1/4'
'-x,y+1/4,z+1/4'
'-x+1/4,y,-z+1/4'
'x+1/4,-y,z+1/4'
'x,y+1/2,z+1/2'
'-x,-y+1/2,-z+1/2'
'-x+1/4,-y+3/4,z+1/2'
'x+1/4,y+3/4,-z+1/2'
'x,-y+3/4,-z+3/4'
'-x,y+3/4,z+3/4'
'-x+1/4,y+1/2,-z+3/4'
'x+1/4,-y+1/2,z+3/4'
'x+1/2,y,z+1/2'
'-x+1/2,-y,-z+1/2'
'-x+3/4,-y+1/4,z+1/2'
'x+3/4,y+1/4,-z+1/2'
'x+1/2,-y+1/4,-z+3/4'
'-x+1/2,y+1/4,z+3/4'
'-x+3/4,y,-z+3/4'
'x+3/4,-y,z+3/4'
'x+1/2,y+1/2,z'
'-x+1/2,-y+1/2,-z'
'-x+3/4,-y+3/4,z'
'x+3/4,y+3/4,-z'
'x+1/2,-y+3/4,-z+1/4'
'-x+1/2,y+3/4,z+1/4'
'-x+3/4,y+1/2,-z+1/4'
'x+3/4,-y+1/2,z+1/4'
loop_
_atom_site_label
_atom_site_fract_x
_atom_site_fract_y
_atom_site_fract_z
Si1 0.125 0.125 0.008
Br1 0.125 0.283 0.625


No. 2
# Si2Br (PBE-GGA, relaxed)
# - offset from the most stable computed form (meV/atom) = 686
# - ρ (Mg/m³) = 3.476
data_Si2Br
_chemical_formula_sum 'Si2 Br1'
_cell_length_a 3.546
_cell_length_b 3.546
_cell_length_c 5.171
_cell_angle_alpha 90.00
_cell_angle_beta 90.00
_cell_angle_gamma 90.00
_symmetry_space_group_name_H-M 'P 4/m m m'
_symmetry_Int_Tables_number 123
_symmetry_space_group_name_Hall '-P 4 2'
loop_
_atom_site_label
_atom_site_fract_x
_atom_site_fract_y
_atom_site_fract_z
Si1 0.000 0.500 0.000
Br1 0.000 0.000 0.500


No. 3
# Si4Br3 (PBE-GGA, relaxed)
# - offset from the most stable computed form (meV/atom) = 0
# - ρ (Mg/m³) = 3.281
data_Si4Br3
_chemical_formula_sum 'Si8 Br6'
_cell_length_a 3.605
_cell_length_b 3.605
_cell_length_c 27.420
_cell_angle_alpha 90.00
_cell_angle_beta 90.00
_cell_angle_gamma 90.00
_symmetry_space_group_name_H-M 'I 4/m m m'
_symmetry_Int_Tables_number 139
_symmetry_space_group_name_Hall '-I 4 2'
loop_
_atom_site_label
_atom_site_fract_x
_atom_site_fract_y
_atom_site_fract_z
Si1 0.000 0.000 0.091
Si2 0.000 0.000 0.397
Br1 0.000 0.000 0.000
Br2 0.000 0.000 0.314


No. 4
# SiBr (PBE-GGA, relaxed)
# - offset from the most stable computed form (meV/atom) = 361
# - ρ (Mg/m³) = 2.189
data_SiBr
_chemical_formula_sum 'Si8 Br8'
_cell_length_a 12.896
_cell_length_b 12.896
_cell_length_c 3.941
_cell_angle_alpha 90.00
_cell_angle_beta 90.00
_cell_angle_gamma 90.00
_symmetry_space_group_name_H-M 'P 4/m'
_symmetry_Int_Tables_number 83
loop_
_symmetry_equiv_pos_as_xyz
'x,y,z'
'-x,-y,-z'
'-y,x,z'
'y,-x,-z'
'-x,-y,z'
'x,y,-z'
'y,-x,z'
'-y,x,-z'
loop_
_atom_site_label
_atom_site_fract_x
_atom_site_fract_y
_atom_site_fract_z
Si1 0.207 0.290 0.000
Si2 0.227 0.721 0.500
Br1 0.053 0.731 0.500
Br2 0.215 0.465 0.000


E_form (uncorrected) (computed, eV/atom): 0.2627; 0.4083; 0.0071; -0.0564
DFT total energy (computed, eV per cell): -105.1; -11.3; -53.3; -57.7